1.
First-principles (PBE) data for an optimized crystal structure of LaNdFe, as listed in OQMD via LeMat-Bulk.

a b c (Å): 4.819 4.819 4.819
angles (deg): 60.00 60.00 60.00
Fractional positions:
Fe1 0.000 0.000 0.000
Nd1 0.750 0.750 0.750
La1 0.250 0.250 0.250

Formation energy from the elements   70 kJ/mol of formula units
Relative energy among the computed polymorphs   0.00 kcal/mol of atoms

2.
First-principles (PBE) data for an optimized crystal structure of Ac5PuTe8, as listed in OQMD via LeMat-Bulk.

a b c (Å): 8.549 8.549 8.549
angles (deg): 109.51 109.51 109.40
Fractional positions:
Ac1 0.750 0.250 0.500
Ac2 0.623 0.997 0.875
Ac3 0.003 0.877 0.626
Ac4 0.123 0.748 0.125
Ac5 0.252 0.377 0.374
Te1 0.720 0.625 0.751
Te2 0.375 0.126 0.095
Te3 0.528 0.774 0.394
Te4 0.381 0.134 0.606
Te5 0.031 0.280 0.905
Te6 0.226 0.619 0.754
Te7 0.866 0.472 0.246
Te8 0.874 0.969 0.249
Pu1 0.500 0.500 0.000

Final energy   -5.59 eV per atom

3.
First-principles (PBE) data for an optimized crystal structure of KMgIrW, as listed in OQMD via LeMat-Bulk.

a b c (Å): 4.748 4.748 4.748
angles (deg): 60.00 60.00 60.00
Fractional positions:
W1 0.000 0.000 0.000
Mg1 0.750 0.750 0.750
Ir1 0.250 0.250 0.250
K1 0.500 0.500 0.500

Relative energy among the computed polymorphs   5.75 kcal/mol of atoms

4.
First-principles (PBE) data for an optimized crystal structure of Zr3Al3CoNiPt, as listed in OQMD via LeMat-Bulk.

a b c (Å): 7.075 7.075 3.466
angles (deg): 90.00 90.00 120.00
Fractional positions:
Pt1 0.667 0.333 0.500
Al1 0.336 0.917 0.500
Al2 0.582 0.664 0.500
Al3 0.083 0.418 0.500
Ni1 0.333 0.667 0.000
Zr1 0.751 0.064 0.000
Zr2 0.936 0.687 0.000
Zr3 0.313 0.249 0.000
Co1 0.000 0.000 0.500

Final energy   -6.95 eV per atom

Taking the records one at a time from the top gives ρ values of 7.113, 8.287, 9.643, 7.375 Mg/m³.